DFT (PBE) results for crystalline Zn2InSe at its relaxed geometry.

Cell: 3.5152 3.5152 6.6947 Å, 90.00 90.00 90.00°
Fractional coordinates of all 4 atoms:
Se 0.5000 0.5000 0.7500
Zn 0.0000 0.0000 0.5396
Zn 0.0000 0.0000 0.9604
In 0.5000 0.5000 0.2500

## Properties
The energy above the most stable polymorph in this dataset comes out at 0.174 eV/atom. The raw formation energy comes out at 1.23 kcal/mol of atoms.